Computed, not measured: K4BaNi after structural relaxation at the PBE level of DFT.

As for the energy of formation from the pure elements: 0.65 eV/atom.

The structure belongs to space group F-43m (No. 216); the cell edges are 10.985, 10.985 and 10.985 Å and the angles 90.00°, 90.00° and 90.00°. The inequivalent atoms are K at (0.123, 0.123, 0.123), Ba at (0.000, 0.000, 0.500) and Ni at (0.250, 0.250, 0.750).

***

Computed, not measured: K2Ba4Ni after structural relaxation at the PBE level of DFT.

As for the energy of formation from the pure elements: 0.10 eV/atom.

The structure belongs to space group I4/mmm (No. 139); the cell edges are 6.272, 6.272 and 21.846 Å and the angles 90.00°, 90.00° and 90.00°. The inequivalent atoms are K at (0.000, 0.000, 0.160), Ba at (0.000, 0.000, 0.361), Ba at (0.000, 0.500, 0.000) and Ni at (0.000, 0.000, 0.500).

***

Question: The highest energy of formation from the pure elements belongs to which entry?
Answer: K4BaNi

***

Question: Among the records above, which one has the highest energy of formation from the pure elements?
Answer: K4BaNi